(1)
The following is a DFT calculation (PBE-GGA) of a relaxed CaTiB2 crystal.

The space group is Fm-3m (No. 225) and the conventional cell measures 5.983, 5.983 and 5.983 Å, with angles of 90.00, 90.00 and 90.00 degrees. The inequivalent atoms are Ca at (0.000, 0.000, 0.000), Ti at (0.000, 0.000, 0.500) and B at (0.250, 0.250, 0.250).

The total energy comes out at -5.2122 eV per atom. The calculation puts the density at 3.40 g/cm³. For the volume, the calculation gives 13.39 Å³ per atom. The calculation puts the magnetization at 0.00 μB/f.u. As for the formation energy: 2.40 eV/f.u.

=====

(2)
The following is a DFT calculation (PBE-GGA) of a relaxed CaTi2B crystal.

The space group is I-42d (No. 122) and the conventional cell measures 6.602, 6.602 and 9.327 Å, with angles of 90.00, 90.00 and 90.00 degrees. The inequivalent atoms are Ca at (0.000, 0.000, 0.000), Ti at (0.002, 0.250, 0.625) and B at (0.000, 0.000, 0.500).

The total energy comes out at -5.4915 eV per atom. The calculation puts the density at 2.40 g/cm³. For the volume, the calculation gives 25.41 Å³ per atom. The calculation puts the magnetization at 2.52 μB/f.u. As for the formation energy: 2.50 eV/f.u.

=====

(3)
The following is a DFT calculation (PBE-GGA) of a relaxed Ca3TiB crystal.

The space group is Pm-3m (No. 221) and the conventional cell measures 5.722, 5.722 and 5.722 Å, with angles of 90.00, 90.00 and 90.00 degrees. The inequivalent atoms are Ca at (0.000, 0.000, 0.500), Ti at (0.000, 0.000, 0.000) and B at (0.500, 0.500, 0.500).

The total energy comes out at -2.5011 eV per atom. The calculation puts the density at 1.59 g/cm³. For the volume, the calculation gives 37.46 Å³ per atom. The calculation puts the magnetization at 2.93 μB/f.u. As for the formation energy: 8.07 eV/f.u.

=====

(4)
The following is a DFT calculation (PBE-GGA) of a relaxed CaTi3B crystal.

The space group is Pm-3m (No. 221) and the conventional cell measures 4.442, 4.442 and 4.442 Å, with angles of 90.00, 90.00 and 90.00 degrees. The inequivalent atoms are Ca at (0.000, 0.000, 0.000), Ti at (0.000, 0.000, 0.500) and B at (0.500, 0.500, 0.500).

The total energy comes out at -4.0609 eV per atom. The calculation puts the density at 3.68 g/cm³. For the volume, the calculation gives 17.53 Å³ per atom. The calculation puts the magnetization at 1.45 μB/f.u. As for the formation energy: 12.06 eV/f.u.

=====

(5)
The following is a DFT calculation (PBE-GGA) of a relaxed CaTiB2 crystal.

The space group is I-42d (No. 122) and the conventional cell measures 4.451, 4.451 and 14.611 Å, with angles of 90.00, 90.00 and 90.00 degrees. The inequivalent atoms are Ca at (0.000, 0.000, 0.000), Ti at (0.000, 0.000, 0.500) and B at (0.087, 0.250, 0.625).

The total energy comes out at -5.0796 eV per atom. The calculation puts the density at 2.51 g/cm³. For the volume, the calculation gives 18.09 Å³ per atom. The calculation puts the magnetization at 0.00 μB/f.u. As for the formation energy: 2.93 eV/f.u.

=====

(6)
The following is a DFT calculation (PBE-GGA) of a relaxed CaTiB3 crystal.

The space group is Pm-3m (No. 221) and the conventional cell measures 4.255, 4.255 and 4.255 Å, with angles of 90.00, 90.00 and 90.00 degrees. The inequivalent atoms are Ca at (0.000, 0.000, 0.000), Ti at (0.500, 0.500, 0.500) and B at (0.000, 0.000, 0.500).

The total energy comes out at -3.5925 eV per atom. The calculation puts the density at 2.60 g/cm³. For the volume, the calculation gives 15.40 Å³ per atom. The calculation puts the magnetization at 1.00 μB/f.u. As for the formation energy: 11.97 eV/f.u.

=====

(7)
The following is a DFT calculation (PBE-GGA) of a relaxed CaTi3B crystal.

The space group is Pm-3m (No. 221) and the conventional cell measures 4.521, 4.521 and 4.521 Å, with angles of 90.00, 90.00 and 90.00 degrees. The inequivalent atoms are Ca at (0.000, 0.000, 0.000), Ti at (0.000, 0.500, 0.500) and B at (0.500, 0.500, 0.500).

The total energy comes out at -6.2855 eV per atom. The calculation puts the density at 3.50 g/cm³. For the volume, the calculation gives 18.48 Å³ per atom. The calculation puts the magnetization at 1.86 μB/f.u. As for the formation energy: 0.94 eV/f.u.

=====

(8)
The following is a DFT calculation (PBE-GGA) of a relaxed CaTl2B crystal.

The space group is Fm-3m (No. 225) and the conventional cell measures 7.235, 7.235 and 7.235 Å, with angles of 90.00, 90.00 and 90.00 degrees. The inequivalent atoms are Ca at (0.000, 0.000, 0.000), Tl at (0.250, 0.250, 0.250) and B at (0.000, 0.000, 0.500).

The total energy comes out at -2.6441 eV per atom. The calculation puts the density at 8.06 g/cm³. For the volume, the calculation gives 23.67 Å³ per atom. The calculation puts the magnetization at 0.00 μB/f.u. As for the formation energy: 2.84 eV/f.u.

=====

Question: What is the formula in the first record?
Answer: CaTiB2

=====

Question: Which value of magnetization does entry 8 give?
Answer: 0.00 μB/f.u.

=====

Question: Which of these has the highest formation energy?
Answer: number 4